P | Material: Tb2Er6In
Method: DFT, GGA-PBE
State: relaxed

abc: 9.7389 9.7389 6.0702
angles: 95.97 95.97 71.94
Closest atoms and distances in Å follow each position.
Element x y z (fractional)
1 Tb 0.0642 0.2914 0.0686  10 Er 3.38-3.66
2 Tb 0.2914 0.0642 0.5686  10 Er 3.38-3.66
3 Tb 0.7086 0.9358 0.4314  10 Er 3.38-3.66
4 Tb 0.9358 0.7086 0.9314  10 Er 3.38-3.66
5 Er 0.0815 0.8098 0.4789  1 In 3.20, 4 Er 3.43-3.54, 2 Tb 3.45-3.57
6 Er 0.1541 0.4302 0.6304  4 Er 3.21-3.49, 1 In 3.26, 3 Tb 3.38-3.41
7 Er 0.1902 0.9185 0.0211  1 In 3.20, 4 Er 3.43-3.54, 2 Tb 3.45-3.57
8 Er 0.2793 0.5174 0.1615  2 In 3.14-3.29, 5 Er 3.25-3.49, 2 Tb 3.45-3.51
9 Er 0.4302 0.1541 0.1304  4 Er 3.21-3.49, 1 In 3.26, 3 Tb 3.38-3.41
10 Er 0.4826 0.7207 0.3385  2 In 3.14-3.29, 5 Er 3.25-3.49, 2 Tb 3.45-3.51
11 Er 0.5174 0.2793 0.6615  2 In 3.14-3.29, 5 Er 3.25-3.49, 2 Tb 3.45-3.51
12 Er 0.5698 0.8459 0.8696  4 Er 3.21-3.49, 1 In 3.26, 3 Tb 3.38-3.41
13 Er 0.7207 0.4826 0.8385  2 In 3.14-3.29, 5 Er 3.25-3.49, 2 Tb 3.45-3.51
14 Er 0.8098 0.0815 0.9789  1 In 3.20, 4 Er 3.43-3.54, 2 Tb 3.45-3.57
15 Er 0.8459 0.5698 0.3696  4 Er 3.21-3.49, 1 In 3.26, 3 Tb 3.38-3.41
16 Er 0.9185 0.1902 0.5211  1 In 3.20, 4 Er 3.43-3.54, 2 Tb 3.45-3.57
17 In 0.3692 0.6308 0.7500  8 Er 3.14-3.29
18 In 0.6308 0.3692 0.2500  8 Er 3.14-3.29

Q | Material: Tb2Er6In
Method: DFT, GGA-PBE
State: relaxed

abc: 9.5718 9.5718 6.5124
angles: 103.46 103.46 99.55
Closest atoms and distances in Å follow each position.
Element x y z (fractional)
1 Tb 0.0335 0.1876 0.0056  8 Er 3.38-3.61, 2 Tb 3.46-3.52
2 Tb 0.1876 0.0335 0.5056  8 Er 3.38-3.61, 2 Tb 3.46-3.52
3 Tb 0.8124 0.9665 0.4944  8 Er 3.38-3.61, 2 Tb 3.46-3.52
4 Tb 0.9665 0.8124 0.9944  8 Er 3.38-3.61, 2 Tb 3.46-3.52
5 Er 0.0080 0.3313 0.5469  1 In 3.25, 4 Er 3.38-3.50, 4 Tb 3.54-3.58
6 Er 0.1770 0.5622 0.0820  1 In 3.13, 6 Er 3.18-3.50, 2 Tb 3.44-3.49
7 Er 0.3313 0.0080 0.0469  1 In 3.25, 4 Er 3.38-3.50, 4 Tb 3.54-3.58
8 Er 0.3355 0.3825 0.4245  1 In 3.18, 6 Er 3.31-3.40, 1 Tb 3.38
9 Er 0.3825 0.3355 0.9245  1 In 3.18, 6 Er 3.31-3.40, 1 Tb 3.38
10 Er 0.4378 0.8230 0.4180  1 In 3.13, 6 Er 3.18-3.50, 2 Tb 3.44-3.49
11 Er 0.5622 0.1770 0.5820  1 In 3.13, 6 Er 3.18-3.50, 2 Tb 3.44-3.49
12 Er 0.6175 0.6645 0.0755  1 In 3.18, 6 Er 3.31-3.40, 1 Tb 3.38
13 Er 0.6645 0.6175 0.5755  1 In 3.18, 6 Er 3.31-3.40, 1 Tb 3.38
14 Er 0.6687 0.9920 0.9531  1 In 3.25, 4 Er 3.38-3.50, 4 Tb 3.54-3.58
15 Er 0.8230 0.4378 0.9180  1 In 3.13, 6 Er 3.18-3.50, 2 Tb 3.44-3.49
16 Er 0.9920 0.6687 0.4531  1 In 3.25, 4 Er 3.38-3.50, 4 Tb 3.54-3.58
17 In 0.3200 0.6800 0.7500  6 Er 3.13-3.25
18 In 0.6800 0.3200 0.2500  6 Er 3.13-3.25

Short version: P, Q, most stable first.